Compound: Y3Mg3ZnPt2
Source: the Open Quantum Materials Database
Functional: PBE-GGA
Structure: optimized geometry

Output
magnetic moment: 0.000 μB per atom
energy: -43.94 eV/cell
space-group type: P-62m (189)

Cell lengths 7.4803, 7.4803, 4.0505 Å; angles 90.00, 90.00, 120.00 degrees
Closest atoms and distances in Å follow each position.
Fractional positions:
Y  0.5834  0.0000  0.0000  4 Pt 3.03, 1 Zn 3.12, 2 Mg 3.21
Mg  0.7493  0.7493  0.5000  2 Zn 2.76, 2 Pt 2.85
Zn  0.0000  0.0000  0.0000  6 Mg 2.76
Pt  0.6667  0.3333  0.5000  3 Mg 2.85, 6 Y 3.03
Y  0.4166  0.4166  0.0000  4 Pt 3.03, 1 Zn 3.12, 2 Mg 3.21
Mg  0.0000  0.2507  0.5000  2 Zn 2.76, 2 Pt 2.85
Mg  0.2507  0.0000  0.5000  2 Zn 2.76, 2 Pt 2.85
Pt  0.3333  0.6667  0.5000  3 Mg 2.85, 6 Y 3.03
Y  0.0000  0.5834  0.0000  4 Pt 3.03, 1 Zn 3.12, 2 Mg 3.21

=====

Compound: MgZnPt
Source: the Open Quantum Materials Database
Functional: PBE-GGA
Structure: optimized geometry

Output
magnetic moment: 0.001 μB per atom
energy: -21.29 eV/cell
space-group type: Amm2 (38)

Cell lengths 4.2235, 6.6917, 6.6917 Å; angles 29.48, 90.00, 90.00 degrees
Closest atoms and distances in Å follow each position.
Fractional positions:
Mg  0.0000  0.2514  0.2514  6 Pt 2.73-2.79, 4 Zn 2.75-2.80
Pt  0.5000  0.7250  0.7250  6 Mg 2.70-2.73, 4 Zn 2.70-2.83
Zn  0.0000  0.5800  0.5800  4 Pt 2.66-2.83, 6 Mg 2.72-2.80
Pt  0.0000  0.9226  0.9226  6 Zn 2.66-2.75, 4 Mg 2.79
Mg  0.5000  0.0631  0.0631  4 Pt 2.70-2.79, 6 Zn 2.72-2.84
Zn  0.5000  0.3874  0.3874  6 Pt 2.70-2.75, 4 Mg 2.75-2.84

=====

Compound: Mg2ZnPt
Source: the Open Quantum Materials Database
Functional: PBE-GGA
Structure: optimized geometry

Output
magnetic moment: 0.000 μB per atom
energy: -12.51 eV/cell
space-group type: I4/mmm (139)

Cell lengths 4.6831, 4.6831, 4.6831 Å; angles 125.70, 125.70, 80.39 degrees
Closest atoms and distances in Å follow each position.
Fractional positions:
Pt  0.5000  0.5000  0.0000  8 Mg 2.79, 4 Zn 3.02
Mg  0.7500  0.2500  0.5000  4 Pt 2.79, 4 Zn 2.79, 4 Mg 3.02
Zn  0.0000  0.0000  0.0000  8 Mg 2.79, 4 Pt 3.02
Mg  0.2500  0.7500  0.5000  4 Pt 2.79, 4 Zn 2.79, 4 Mg 3.02

=====

Compound: Mg2ZnPt
Source: the Open Quantum Materials Database
Functional: PBE-GGA
Structure: optimized geometry

Output
magnetic moment: 0.000 μB per atom
energy: -12.37 eV/cell
space-group type: F-43m (216)

Cell lengths 4.5156, 4.5156, 4.5156 Å; angles 60.00, 60.00, 60.00 degrees
Closest atoms and distances in Å follow each position.
Fractional positions:
Mg  0.0000  0.0000  0.0000  4 Mg 2.77, 4 Zn 2.77
Mg  0.7500  0.7500  0.7500  4 Mg 2.77, 4 Pt 2.77
Pt  0.5000  0.5000  0.5000  4 Mg 2.77, 4 Zn 2.77
Zn  0.2500  0.2500  0.2500  4 Pt 2.77, 4 Mg 2.77

=====

Q: Which value of energy does entry 2 give?
A: -21.29 eV/cell